Mn3GeN: relaxed, PBE.

a = 7.046 Å, b = 7.046 Å, c = 7.046 Å
α = 60.00°, β = 60.00°, γ = 60.00°
Site moments in Bohr magnetons follow the coordinates.
Positions (direct):
Mn 0.444 0.056 0.056  1.52
N 0.125 0.125 0.625  -0.10
Ge 0.625 0.625 0.125  -0.10
Ge 0.625 0.625 0.625  -0.10
Mn 0.056 0.444 0.056  1.48
Mn 0.444 0.444 0.056  1.45
Mn 0.806 0.194 0.806  1.56
Mn 0.444 0.056 0.444  1.56
Mn 0.806 0.806 0.194  1.45
Mn 0.806 0.194 0.194  1.52
N 0.125 0.125 0.125  -0.10
N 0.625 0.125 0.125  -0.10
Mn 0.194 0.806 0.806  1.44
N 0.125 0.625 0.125  -0.10
Mn 0.056 0.056 0.444  1.31
Ge 0.125 0.625 0.625  -0.12
Mn 0.194 0.194 0.806  1.31
Mn 0.194 0.806 0.194  1.48
Ge 0.625 0.125 0.625  -0.11
Mn 0.056 0.444 0.444  1.44

Values from the calculation:
calculated volume: 247.39 Å³/cell
raw total energy: -164.72 eV for the cell shown

***

Mn3GeN: relaxed, PBE.

a = 3.901 Å, b = 10.281 Å, c = 5.955 Å
α = 90.00°, β = 90.00°, γ = 90.00°
Site moments in Bohr magnetons follow the coordinates.
Positions (direct):
Ge 0.000 0.500 0.500  -0.07
Mn 0.000 0.750 0.425  2.33
N 0.500 0.750 0.408  -0.06
Mn 0.000 0.371 0.142  0.45
Mn 0.500 0.250 0.925  2.33
Mn 0.500 0.629 0.642  0.45
N 0.500 0.250 0.592  -0.06
Ge 0.500 0.500 0.000  -0.07
Mn 0.500 0.871 0.642  0.45
Mn 0.000 0.629 0.858  0.45
Mn 0.500 0.129 0.358  0.45
N 0.000 0.750 0.092  -0.06
Mn 0.500 0.750 0.075  2.33
Mn 0.000 0.129 0.142  0.45
Ge 0.000 0.000 0.500  -0.07
N 0.000 0.250 0.908  -0.06
Mn 0.000 0.250 0.575  2.33
Ge 0.500 0.000 0.000  -0.07
Mn 0.500 0.371 0.358  0.46
Mn 0.000 0.871 0.858  0.45

Values from the calculation:
calculated volume: 238.80 Å³/cell
raw total energy: -163.25 eV for the cell shown

***

MnGeN2: relaxed, PBE.

a = 4.740 Å, b = 4.740 Å, c = 5.518 Å
α = 64.56°, β = 64.56°, γ = 90.00°
Site moments in Bohr magnetons follow the coordinates.
Positions (direct):
N 0.875 0.917 0.750  0.08
Mn 0.500 0.500 0.000  4.28
Ge 0.750 0.250 0.500  0.07
N 0.375 0.333 0.750  0.08
N 0.667 0.125 0.250  0.08
Mn 0.250 0.750 0.500  4.28
N 0.083 0.625 0.250  0.08
Ge 0.000 0.000 0.000  0.07

Values from the calculation:
calculated volume: 98.48 Å³/cell
raw total energy: -61.18 eV for the cell shown